The following is a GGA-PBE calculation of crystalline ZrGaTc3 at its relaxed geometry, from Alexandria.

Values from the calculation:
Relative energy among the computed polymorphs   921.9 meV per atom
SG   Pm-3m
DFT formation energy   1.87 eV/atom

Geometry as POSCAR:
```
ZrGaTc3
1.0
4.8066 0.0000 0.0000
0.0000 4.8066 0.0000
0.0000 0.0000 4.8066
Zr Ga Tc
1 1 3
Direct
0.0000 0.0000 0.0000
0.5000 0.5000 0.5000
0.0000 0.0000 0.5000
0.0000 0.5000 0.0000
0.5000 0.0000 0.0000
```


The following is a GGA-PBE calculation of crystalline Nd3Mg2NpN6 at its relaxed geometry, from Alexandria.

Values from the calculation:
SG   C2/m
ΔE_f (raw)   -1074 meV/atom

Geometry as POSCAR:
```
Nd3Mg2NpN6
1.0
2.9754 -5.1903 0.0000
2.9754 5.1903 0.0000
-1.9215 0.0000 5.7000
Nd Mg Np N
3 2 1 6
Direct
0.0000 0.0000 0.0000
0.3281 0.6719 0.0000
0.6719 0.3281 0.0000
0.1668 0.8332 0.5000
0.8332 0.1668 0.5000
0.5000 0.5000 0.5000
0.1137 0.4230 0.2746
0.2706 0.2706 0.7287
0.4230 0.1137 0.2746
0.5770 0.8863 0.7254
0.7294 0.7294 0.2713
0.8863 0.5770 0.7254
```


The following is a GGA-PBE calculation of crystalline CeHoScOs at its relaxed geometry, from Alexandria.

Values from the calculation:
SG   F-43m
DFT formation energy   0.01 eV/atom

Geometry as POSCAR:
```
CeHoScOs
1.0
0.0000 3.5517 3.5517
3.5517 0.0000 3.5517
3.5517 3.5517 0.0000
Ce Ho Sc Os
1 1 1 1
Direct
0.0000 0.0000 0.0000
0.5000 0.5000 0.5000
0.2500 0.2500 0.2500
0.7500 0.7500 0.7500
```


The following is a GGA-PBE calculation of crystalline LiHfMn4 at its relaxed geometry, from Alexandria.

Values from the calculation:
SG   F-43m
DFT formation energy   0.05 eV/atom

Geometry as POSCAR:
```
LiHfMn4
1.0
0.0000 3.3929 3.3929
3.3929 0.0000 3.3929
3.3929 3.3929 0.0000
Li Hf Mn
1 1 4
Direct
0.0000 0.0000 0.0000
0.2500 0.2500 0.2500
0.1227 0.6258 0.6258
0.6258 0.1227 0.6258
0.6258 0.6258 0.1227
0.6258 0.6258 0.6258
```


The following is a GGA-PBE calculation of crystalline Ir2RuAu at its relaxed geometry, from Alexandria.

Values from the calculation:
Relative energy among the computed polymorphs   606.5 meV per atom
SG   I-42d
DFT formation energy   0.76 eV/atom

Geometry as POSCAR:
```
Ir2RuAu
1.0
-3.5530 3.5530 2.6916
3.5530 -3.5530 2.6916
3.5530 3.5530 -2.6916
Ir Ru Au
4 2 2
Direct
0.0917 0.6250 0.9667
0.3750 0.3417 0.4667
0.6583 0.1250 0.0333
0.8750 0.9083 0.5333
0.0000 0.0000 0.0000
0.7500 0.2500 0.5000
0.2500 0.7500 0.5000
0.5000 0.5000 0.0000
```


The following is a GGA-PBE calculation of crystalline Cs3HgBi2 at its relaxed geometry, from Alexandria.

Values from the calculation:
SG   Ibam
DFT formation energy   -0.26 eV/atom

Geometry as POSCAR:
```
Cs3HgBi2
1.0
-4.8096 8.0581 4.1007
4.8096 -8.0581 4.1007
4.8096 8.0581 -4.1007
Cs Hg Bi
6 2 4
Direct
0.1709 0.6914 0.8623
0.2500 0.2500 0.0000
0.3291 0.1914 0.5205
0.6709 0.8086 0.4795
0.7500 0.7500 0.0000
0.8291 0.3086 0.1377
0.2500 0.7500 0.5000
0.7500 0.2500 0.5000
0.0884 0.3174 0.4057
0.4116 0.8174 0.2290
0.5884 0.1826 0.7710
0.9116 0.6826 0.5943
```


The following is a GGA-PBE calculation of crystalline Ba6PbAu5 at its relaxed geometry, from Alexandria.

Values from the calculation:
SG   Immm
DFT formation energy   -0.65 eV/atom

Geometry as POSCAR:
```
Ba6PbAu5
1.0
-2.8711 4.1181 8.6608
2.8711 -4.1181 8.6608
2.8711 4.1181 -8.6608
Ba Pb Au
6 1 5
Direct
0.0773 0.3303 0.7470
0.2392 0.0000 0.2392
0.4167 0.6697 0.7470
0.5833 0.3303 0.2530
0.7608 0.0000 0.7608
0.9227 0.6697 0.2530
0.5000 0.5000 0.0000
0.0000 0.5000 0.5000
0.1686 0.1686 0.0000
0.3395 0.8395 0.5000
0.6605 0.1605 0.5000
0.8314 0.8314 0.0000
```


The following is a GGA-PBE calculation of crystalline Ce2Pu3Sb4 at its relaxed geometry, from Alexandria.

Values from the calculation:
SG   P-1
ΔE_f (raw)   -544 meV/atom

Geometry as POSCAR:
```
Ce2Pu3Sb4
1.0
5.6045 0.0000 0.0000
0.6364 5.8901 0.0000
1.5764 1.1228 7.3990
Ce Pu Sb
2 3 4
Direct
0.2064 0.3386 0.3287
0.7936 0.6614 0.6713
0.1275 0.1324 0.7846
0.5000 0.0000 0.0000
0.8725 0.8676 0.2154
0.2444 0.5968 0.9095
0.3209 0.8092 0.4263
0.6791 0.1908 0.5737
0.7556 0.4032 0.0905
```


The following is a GGA-PBE calculation of crystalline Rb4PaSe5 at its relaxed geometry, from Alexandria.

Values from the calculation:
Relative energy among the computed polymorphs   70.4 meV per atom
SG   I4/mmm
ΔE_f (raw)   -1126 meV/atom

Geometry as POSCAR:
```
Rb4PaSe5
1.0
-5.8005 5.8005 2.8648
5.8005 -5.8005 2.8648
5.8005 5.8005 -2.8648
Rb Pa Se
4 1 5
Direct
0.0000 0.2774 0.2774
0.0000 0.7226 0.7226
0.2774 0.0000 0.2774
0.7226 0.0000 0.7226
0.5000 0.5000 0.0000
0.0000 0.0000 0.0000
0.3318 0.3318 0.6636
0.3318 0.6682 0.0000
0.6682 0.3318 0.0000
0.6682 0.6682 0.3364
```


The following is a GGA-PBE calculation of crystalline Hg2MoSN at its relaxed geometry, from Alexandria.

Values from the calculation:
SG   P4/mmm
ΔE_f (raw)   807 meV/atom

Geometry as POSCAR:
```
Hg2MoSN
1.0
4.9524 0.0000 0.0000
0.0000 4.9524 0.0000
0.0000 0.0000 3.9268
Hg Mo S N
2 1 1 1
Direct
0.0000 0.5000 0.0000
0.5000 0.0000 0.0000
0.0000 0.0000 0.5000
0.5000 0.5000 0.5000
0.0000 0.0000 0.0000
```


The following is a GGA-PBE calculation of crystalline CaTl2In at its relaxed geometry, from Alexandria.

Values from the calculation:
SG   P4/mmm
DFT formation energy   -0.25 eV/atom

Geometry as POSCAR:
```
CaTl2In
1.0
5.1484 0.0000 0.0000
0.0000 5.1484 0.0000
0.0000 0.0000 4.2853
Ca Tl In
1 2 1
Direct
0.0000 0.0000 0.0000
0.0000 0.5000 0.5000
0.5000 0.0000 0.5000
0.5000 0.5000 0.0000
```


The following is a GGA-PBE calculation of crystalline Sc3Sb4 at its relaxed geometry, from Alexandria.

Values from the calculation:
SG   P6/mmm
ΔE_f (raw)   -315 meV/atom

Geometry as POSCAR:
```
Sc3Sb4
1.0
5.9835 0.0000 0.0000
-2.9918 5.1819 0.0000
0.0000 0.0000 5.5047
Sc Sb
3 4
Direct
0.0000 0.5000 0.0000
0.5000 0.0000 0.0000
0.5000 0.5000 0.0000
0.0000 0.0000 0.2500
0.0000 0.0000 0.7500
0.3333 0.6667 0.5000
0.6667 0.3333 0.5000
```